1.
Here is BaCrO2F at its PBEsol-relaxed geometry from Alexandria via LeMat-Bulk. Energies are from SCAN.

Properties
Total magnetic moment = 4.5 μB per cell
Crystal system = tetragonal
N(E_F) = 6.65 states/eV per cell
ΔE_f (raw) = -3.86 eV per formula unit

abc: 4.591 4.591 4.843
angles: 90.00 90.00 90.00
Fractional positions:
Cr 0.500 0.500 0.500
Ba 0.000 0.000 0.000
O 0.000 0.500 0.000
O 0.500 0.000 0.000
F 0.000 0.000 0.500


2.
Here is BaCrOF2 at its PBEsol-relaxed geometry from Alexandria via LeMat-Bulk. Energies are from SCAN.

Properties
Total magnetic moment = 4.6 μB per cell
Crystal system = tetragonal
N(E_F) = 3.72 states/eV per cell
ΔE_f (raw) = -7.62 eV per formula unit

abc: 4.919 4.919 4.645
angles: 90.00 90.00 90.00
Fractional positions:
Cr 0.500 0.500 0.500
Ba 0.000 0.000 0.000
O 0.000 0.000 0.500
F 0.000 0.500 0.000
F 0.500 0.000 0.000


3.
Here is Ba2CrSF at its PBEsol-relaxed geometry from Alexandria via LeMat-Bulk. Energies are from SCAN.

Properties
Total magnetic moment = 5.8 μB per cell
Crystal system = tetragonal
N(E_F) = 2.13 states/eV per cell
ΔE_f (raw) = -3.55 eV per formula unit

abc: 4.610 6.013 6.013
angles: 90.00 90.00 90.00
Fractional positions:
Cr 0.500 0.500 0.500
S 0.000 0.000 0.000
Ba 0.000 0.000 0.500
Ba 0.000 0.500 0.000
F 0.500 0.000 0.000


4.
Here is Ba2YCr2F11 at its PBEsol-relaxed geometry from Alexandria via LeMat-Bulk. Energies are from SCAN.

Properties
Total magnetic moment = 24.0 μB per cell
Crystal system = trigonal
N(E_F) = 0.00 states/eV per cell
ΔE_f (raw) = -58.32 eV per formula unit

abc: 7.799 7.799 13.420
angles: 90.00 90.00 120.00
Fractional positions:
Ba 0.452 0.632 0.335
Ba 0.812 0.356 0.199
Ba 0.368 0.820 0.002
Ba 0.544 0.188 0.532
Ba 0.644 0.456 0.866
Ba 0.180 0.548 0.668
Y 0.876 0.897 0.107
Y 0.103 0.979 0.774
Y 0.021 0.124 0.440
Cr 0.378 0.382 0.104
Cr 0.266 0.996 0.278
Cr 0.729 0.734 0.611
Cr 0.618 0.996 0.771
Cr 0.004 0.271 0.944
Cr 0.004 0.622 0.438
F 0.294 0.424 0.971
F 0.520 0.255 0.052
F 0.576 0.870 0.637
F 0.923 0.293 0.526
F 0.425 0.734 0.821
F 0.027 0.676 0.807
F 0.370 0.077 0.860
F 0.649 0.973 0.141
F 0.266 0.691 0.488
F 0.721 0.117 0.907
F 0.707 0.630 0.193
F 0.130 0.706 0.304
F 0.660 0.708 0.000
F 0.961 0.483 0.991
F 0.292 0.953 0.667
F 0.735 0.480 0.385
F 0.031 0.216 0.114
F 0.883 0.604 0.573
F 0.984 0.002 0.611
F 0.047 0.340 0.334
F 0.998 0.982 0.277
F 0.522 0.039 0.324
F 0.517 0.478 0.658
F 0.784 0.816 0.780
F 0.396 0.279 0.240
F 0.309 0.575 0.155
F 0.745 0.265 0.719
F 0.125 0.853 0.119
F 0.147 0.272 0.786
F 0.018 0.016 0.944
F 0.324 0.351 0.474
F 0.184 0.969 0.447
F 0.728 0.875 0.452


5.
Here is BaZnCrF7 at its PBEsol-relaxed geometry from Alexandria via LeMat-Bulk. Energies are from SCAN.

Properties
Total magnetic moment = 12.0 μB per cell
Crystal system = monoclinic
N(E_F) = 0.00 states/eV per cell
ΔE_f (raw) = -32.91 eV per formula unit

abc: 5.538 9.513 9.843
angles: 90.00 90.00 92.99
Fractional positions:
Ba 0.259 0.499 0.681
Ba 0.741 0.001 0.181
Ba 0.741 0.501 0.319
Ba 0.259 0.999 0.819
Zn 0.695 0.811 0.601
Zn 0.305 0.689 0.101
Zn 0.695 0.311 0.899
Zn 0.305 0.189 0.399
Cr 0.195 0.813 0.386
Cr 0.805 0.187 0.614
Cr 0.195 0.313 0.114
Cr 0.805 0.687 0.886
F 0.107 0.121 0.556
F 0.359 0.371 0.951
F 0.478 0.751 0.295
F 0.522 0.249 0.705
F 0.889 0.365 0.542
F 0.262 0.497 0.193
F 0.023 0.753 0.224
F 0.111 0.135 0.042
F 0.359 0.871 0.549
F 0.522 0.749 0.795
F 0.107 0.621 0.944
F 0.893 0.879 0.444
F 0.977 0.747 0.724
F 0.387 0.877 0.044
F 0.111 0.635 0.458
F 0.889 0.865 0.958
F 0.977 0.247 0.776
F 0.893 0.379 0.056
F 0.613 0.623 0.544
F 0.641 0.629 0.049
F 0.613 0.123 0.956
F 0.023 0.253 0.276
F 0.387 0.377 0.456
F 0.738 0.003 0.693
F 0.738 0.503 0.807
F 0.262 0.997 0.307
F 0.641 0.129 0.451
F 0.478 0.251 0.205


6.
Here is BaCrFe3 at its PBEsol-relaxed geometry from Alexandria via LeMat-Bulk. Energies are from SCAN.

Properties
Total magnetic moment = 5.2 μB per cell
E = -21.498 eV/atom
Crystal system = cubic
N(E_F) = 3.52 states/eV per cell

abc: 4.459 4.459 4.459
angles: 90.00 90.00 90.00
Fractional positions:
Cr 0.000 0.000 0.000
Ba 0.500 0.500 0.500
Fe 0.000 0.500 0.000
Fe 0.000 0.000 0.500
Fe 0.500 0.000 0.000


7.
Here is BaCrFe2Ir at its PBEsol-relaxed geometry from Alexandria via LeMat-Bulk. Energies are from SCAN.

Properties
Total magnetic moment = 12.7 μB per cell
E = -32.055 eV/atom
Crystal system = tetragonal
N(E_F) = 3.06 states/eV per cell

abc: 4.734 4.734 5.741
angles: 90.00 90.00 90.00
Fractional positions:
Cr 0.500 0.500 0.500
Ir 0.000 0.000 0.000
Ba 0.000 0.000 0.500
Fe 0.000 0.500 0.000
Fe 0.500 0.000 0.000


8.
Here is BaCr3Ga at its PBEsol-relaxed geometry from Alexandria via LeMat-Bulk. Energies are from SCAN.

Properties
Total magnetic moment = 13.8 μB per cell
E = -21.659 eV/atom
Crystal system = cubic
N(E_F) = 4.29 states/eV per cell

abc: 4.912 4.912 4.912
angles: 90.00 90.00 90.00
Fractional positions:
Cr 0.000 0.500 0.000
Cr 0.000 0.000 0.500
Cr 0.500 0.000 0.000
Ba 0.500 0.500 0.500
Ga 0.000 0.000 0.000


9.
Here is BaCrGe2Pd at its PBEsol-relaxed geometry from Alexandria via LeMat-Bulk. Energies are from SCAN.

Properties
Total magnetic moment = 4.4 μB per cell
E = -24.207 eV/atom
Crystal system = tetragonal
N(E_F) = 3.92 states/eV per cell

abc: 5.154 5.656 5.656
angles: 90.00 90.00 90.00
Fractional positions:
Cr 0.500 0.500 0.500
Ge 0.000 0.000 0.500
Ge 0.000 0.500 0.000
Ba 0.000 0.000 0.000
Pd 0.500 0.000 0.000


10.
Here is BaCr2GeTe at its PBEsol-relaxed geometry from Alexandria via LeMat-Bulk. Energies are from SCAN.

Properties
Total magnetic moment = 10.5 μB per cell
Crystal system = tetragonal
N(E_F) = 3.52 states/eV per cell
ΔE_f (raw) = 8.39 eV per formula unit

abc: 5.574 5.300 5.300
angles: 90.00 90.00 90.00
Fractional positions:
Cr 0.000 0.000 0.500
Cr 0.000 0.500 0.000
Ge 0.500 0.000 0.000
Te 0.500 0.500 0.500
Ba 0.000 0.000 0.000


11.
Here is BaTl2CrGe at its PBEsol-relaxed geometry from Alexandria via LeMat-Bulk. Energies are from SCAN.

Properties
Total magnetic moment = 4.4 μB per cell
E = -44.286 eV/atom
Crystal system = tetragonal
N(E_F) = 2.65 states/eV per cell

abc: 4.837 5.572 5.572
angles: 90.00 90.00 90.00
Fractional positions:
Cr 0.500 0.000 0.000
Tl 0.000 0.000 0.500
Tl 0.000 0.500 0.000
Ge 0.000 0.000 0.000
Ba 0.500 0.500 0.500


12.
Here is KBa2CrH at its PBEsol-relaxed geometry from Alexandria via LeMat-Bulk. Energies are from SCAN.

Properties
Total magnetic moment = 4.9 μB per cell
E = -21.162 eV/atom
Crystal system = tetragonal
N(E_F) = 5.63 states/eV per cell

abc: 4.209 6.576 6.576
angles: 90.00 90.00 90.00
Fractional positions:
Cr 0.500 0.500 0.500
K 0.000 0.000 0.000
Ba 0.000 0.000 0.500
Ba 0.000 0.500 0.000
H 0.500 0.000 0.000